! CaFeGe4O12 (PBE+U, optimized geometry); values from VASP
! - VASP energy (eV per atom) = -6.096
! - theoretical density (g/cm³) = 4.7
&SYSTEM
  ibrav = 0, nat = 18, ntyp = 4
/
ATOMIC_SPECIES
Ca 40.08 Ca.upf
Fe 55.84 Fe.upf
Ge 72.64 Ge.upf
O 16.00 O.upf
CELL_PARAMETERS angstrom
7.412 0.000 0.000
0.000 3.974 3.460
0.000 -3.974 3.460
ATOMIC_POSITIONS crystal
Ca 0.000 0.000 0.000
Fe 0.500 0.349 0.349
Ge 0.254 0.454 0.891
Ge 0.254 0.891 0.454
Ge 0.746 0.454 0.891
Ge 0.746 0.891 0.454
O 0.000 0.466 0.880
O 0.000 0.880 0.466
O 0.241 0.113 0.754
O 0.241 0.240 0.240
O 0.241 0.754 0.113
O 0.313 0.585 0.585
O 0.500 0.423 0.993
O 0.500 0.993 0.423
O 0.687 0.585 0.585
O 0.759 0.113 0.754
O 0.759 0.240 0.240
O 0.759 0.754 0.113